VASP calculation (PBE) on a geometry-optimized ZnIr2Cl structure.

Total moment   1.042 μB per formula unit
ΔE_f (raw)   0.31 eV/atom
E above lowest polymorph   0.164 eV per atom

Lattice parameters (Å, degrees): 2.8808 2.8808 7.6646 90.00 90.00 90.00
Closest atoms and distances in Å follow each position.
Space group P4mm (No. 99)
Inequivalent atoms, fractional coordinates:
1 Zn 0.0000 0.0000 0.0000 (multiplicity 1)  4 Ir 2.68, 4 Zn 2.88, 4 Cl 2.92
2 Ir 0.0000 0.0000 0.5445 (multiplicity 1)  8 Ir 2.68-2.88, 4 Cl 2.91
3 Ir 0.5000 0.5000 0.7724 (multiplicity 1)  4 Zn 2.68, 8 Ir 2.68-2.88
4 Cl 0.5000 0.5000 0.2734 (multiplicity 1)  4 Cl 2.88, 4 Ir 2.91, 4 Zn 2.92

---

VASP calculation (PBE) on a geometry-optimized RbZnCdBi structure.

Total moment   0.000 μB per formula unit
Final energy   -1.860 eV/atom

Lattice parameters (Å, degrees): 4.3567 4.3567 14.8451 90.00 90.00 90.00
Closest atoms and distances in Å follow each position.
Space group P4/nmm (No. 129, origin choice 2)
Inequivalent atoms, fractional coordinates:
1 Rb 0.2500 0.2500 0.2327 (multiplicity 2)  4 Bi 3.76, 4 Cd 4.08
2 Zn 0.2500 0.7500 0.5000 (multiplicity 2)  4 Bi 2.84, 4 Zn 3.08
3 Cd 0.2500 0.7500 0.0000 (multiplicity 2)  4 Cd 3.08
4 Bi 0.2500 0.2500 0.6224 (multiplicity 2)  4 Zn 2.84

---

VASP calculation (PBE) on a geometry-optimized NdTlPd2 structure.

Total moment   0.000 μB per formula unit
Final energy   -4.972 eV/atom

Lattice parameters (Å, degrees): 4.7839 4.7839 13.2283 90.00 90.00 120.00
Closest atoms and distances in Å follow each position.
Space group R-3m (No. 166, hexagonal axes)
Inequivalent atoms, fractional coordinates:
1 Nd 0.0000 0.0000 0.0000 (multiplicity 3)  8 Pd 2.99-3.11
2 Tl 0.0000 0.0000 0.5000 (multiplicity 3)  6 Pd 2.87
3 Pd 0.0000 0.0000 0.2259 (multiplicity 6)  3 Tl 2.87, 4 Nd 2.99-3.11, 3 Pd 3.18

---

VASP calculation (PBE) on a geometry-optimized BaNa2RhO4 structure.

Total moment   3.003 μB per formula unit
ΔE_f (raw)   -1.47 eV/atom

Lattice parameters (Å, degrees): 6.0146 6.0146 7.0863 90.00 90.00 90.00
Closest atoms and distances in Å follow each position.
Space group I-4 (No. 82)
Inequivalent atoms, fractional coordinates:
1 Ba 0.0000 0.0000 0.0000 (multiplicity 2)  8 O 2.77-2.81
2 Na 0.0000 0.0000 0.5000 (multiplicity 2)  4 O 2.50
3 Na 0.0000 0.5000 0.7500 (multiplicity 2)  4 O 2.36
4 Rh 0.0000 0.5000 0.2500 (multiplicity 2)  4 O 1.93
5 O 0.2022 0.2523 0.2788 (multiplicity 8)  1 Rh 1.93

---

VASP calculation (PBE) on a geometry-optimized KTc2Hg structure.

Total moment   0.000 μB per formula unit
Final energy   -4.790 eV/atom

Lattice parameters (Å, degrees): 3.0920 4.8098 10.6193 90.00 90.00 90.00
Closest atoms and distances in Å follow each position.
Space group Cmm2 (No. 35)
Inequivalent atoms, fractional coordinates:
1 K 0.0000 0.0000 0.0000 (multiplicity 2)  6 K 2.86-3.09
2 Tc 0.0000 0.0000 0.4640 (multiplicity 2)  2 Tc 2.53
3 Tc 0.0000 0.5000 0.2750 (multiplicity 2)  2 Tc 2.53
4 Hg 0.0000 0.5000 0.7093 (multiplicity 2)  6 Hg 2.86-3.09, 2 Tc 3.03

---

VASP calculation (PBE) on a geometry-optimized La12Tb7Ho structure.

Total moment   0.000 μB per formula unit
E above lowest polymorph   0.000 eV per atom

Lattice parameters (Å, degrees): 19.6364 19.6364 6.3817 90.00 90.00 120.00
Closest atoms and distances in Å follow each position.
Space group R-3m (No. 166, hexagonal axes)
Inequivalent atoms, fractional coordinates:
1 La 0.0000 0.4079 0.0000 (multiplicity 18)  3 La 3.31-3.62, 2 Tb 3.38
2 La 0.0972 0.5486 0.4776 (multiplicity 18)  1 La 3.32, 4 Tb 3.36-3.64
3 Tb 0.0000 0.0000 0.0000 (multiplicity 3)  2 Ho 3.19, 6 Tb 3.42
4 Tb 0.0828 0.1656 0.3033 (multiplicity 18)  1 Ho 3.08, 3 La 3.36-3.38, 1 Tb 3.42
5 Ho 0.0000 0.0000 0.5000 (multiplicity 3)  8 Tb 3.08-3.19

---

VASP calculation (PBE) on a geometry-optimized Tb7TmCd4 structure.

Total moment   0.004 μB per formula unit
Final energy   -3.374 eV/atom

Lattice parameters (Å, degrees): 14.7227 5.7119 9.7445 90.00 121.95 90.00
Closest atoms and distances in Å follow each position.
Space group C2/m (No. 12)
Inequivalent atoms, fractional coordinates:
1 Tb 0.0000 0.0000 0.0000 (multiplicity 2)  2 Tm 2.86, 4 Cd 2.97-3.18
2 Tb 0.0709 0.5000 0.4113 (multiplicity 4)  3 Cd 3.13-3.20, 2 Tb 3.34-3.46
3 Tb 0.2054 0.5000 0.8814 (multiplicity 4)  4 Cd 3.38-3.73, 6 Tb 3.47-3.76, 1 Tm 3.77
4 Tb 0.2392 0.0000 0.6956 (multiplicity 4)  4 Cd 2.99-3.18
5 Tm 0.0000 0.5000 0.0000 (multiplicity 2)  2 Tb 2.86
6 Cd 0.0421 0.0000 0.7117 (multiplicity 4)  4 Tb 2.99-3.20, 1 Cd 3.04
7 Cd 0.1811 0.0000 0.3421 (multiplicity 4)  5 Tb 2.97-3.18, 1 Cd 3.04

---

VASP calculation (PBE) on a geometry-optimized AlTlCd structure.

Total moment   0.000 μB per formula unit
Final energy   -2.177 eV/atom

Lattice parameters (Å, degrees): 3.2524 5.8518 8.0778 103.59 101.34 90.09
Closest atoms and distances in Å follow each position.
Space group P1 (No. 1)
Inequivalent atoms, fractional coordinates:
1 Al 0.0000 0.0000 0.0000 (multiplicity 1)  2 Al 2.72-2.73, 1 Cd 2.93, 2 Tl 2.97
2 Al 0.4021 0.6704 0.7994 (multiplicity 1)  2 Al 2.72-2.73, 1 Tl 2.90, 2 Cd 2.98
3 Tl 0.3560 0.1608 0.7122 (multiplicity 1)  4 Al 2.90-3.13
4 Tl 0.6565 0.0549 0.3213 (multiplicity 1)  2 Al 2.97, 2 Cd 3.16, 2 Tl 3.25
5 Cd 0.0476 0.5153 0.1014 (multiplicity 1)  4 Al 2.93-3.20, 2 Cd 3.25
6 Cd 0.7436 0.6050 0.4760 (multiplicity 1)  2 Al 2.98, 2 Tl 3.16, 4 Cd 3.25-3.33

---

VASP calculation (PBE) on a geometry-optimized Rb3AlIn structure.

Total moment   0.258 μB per formula unit
E above lowest polymorph   0.000 eV per atom

Lattice parameters (Å, degrees): 6.9377 6.9377 6.9377 90.00 90.00 90.00
Closest atoms and distances in Å follow each position.
Space group Pm-3m (No. 221)
Inequivalent atoms, fractional coordinates:
1 Rb 0.0000 0.0000 0.5000 (multiplicity 3)  2 Al 3.47
2 Al 0.0000 0.0000 0.0000 (multiplicity 1)  6 Rb 3.47
3 In 0.5000 0.5000 0.5000 (multiplicity 1)  12 Rb 4.91

---

VASP calculation (PBE) on a geometry-optimized Ta2IrBr structure.

Total moment   0.000 μB per formula unit
ΔE_f (raw)   0.12 eV/atom
E above lowest polymorph   0.085 eV per atom

Lattice parameters (Å, degrees): 2.9357 3.6031 7.3046 90.00 90.00 90.00
Closest atoms and distances in Å follow each position.
Space group Pmmm (No. 47)
Inequivalent atoms, fractional coordinates:
1 Ta 0.0000 0.0000 0.2008 (multiplicity 2)  4 Ir 2.75, 2 Br 2.83, 3 Ta 2.93-2.94
2 Ir 0.5000 0.5000 0.0000 (multiplicity 1)  8 Ta 2.75, 2 Ir 2.94
3 Br 0.0000 0.5000 0.5000 (multiplicity 1)  4 Ta 2.83, 2 Br 2.94

---

VASP calculation (PBE) on a geometry-optimized CaLaYIn structure.

Total moment   0.000 μB per formula unit
Final energy   -4.224 eV/atom

Lattice parameters (Å, degrees): 7.9437 7.9437 7.9437 90.00 90.00 90.00
Closest atoms and distances in Å follow each position.
Space group F-43m (No. 216)
Inequivalent atoms, fractional coordinates:
1 Ca 0.0000 0.0000 0.0000 (multiplicity 4)  4 La 3.44, 4 Y 3.44
2 La 0.2500 0.2500 0.7500 (multiplicity 4)  4 In 3.44, 4 Ca 3.44
3 Y 0.2500 0.2500 0.2500 (multiplicity 4)  4 In 3.44, 4 Ca 3.44
4 In 0.0000 0.0000 0.5000 (multiplicity 4)  4 Y 3.44, 4 La 3.44

---

VASP calculation (PBE) on a geometry-optimized Nd4InRu structure.

Total moment   0.000 μB per formula unit
E above lowest polymorph   0.049 eV per atom

Lattice parameters (Å, degrees): 8.9715 13.3089 6.3636 90.00 107.34 90.00
Closest atoms and distances in Å follow each position.
Space group C2/c (No. 15)
Inequivalent atoms, fractional coordinates:
1 Nd 0.1110 0.1669 0.0462 (multiplicity 8)  2 Ru 2.89
2 Nd 0.2152 0.4190 0.3969 (multiplicity 8)  2 Ru 3.05-3.16, 2 In 3.30-3.42
3 In 0.0000 0.3774 0.7500 (multiplicity 4)  8 Nd 3.30-3.42
4 Ru 0.0000 0.0002 0.2500 (multiplicity 4)  8 Nd 2.89-3.16, 2 Ru 3.18